A relaxed Cd2Ga2AgAu5 crystal, computed with PBE.

Its symmetry is P4/mbm. The calculation puts the electronic total energy at -56.18 eV for the cell shown. The calculation puts the formation enthalpy at 0 K at -0.10 eV per atom. The value obtained for the calculated density is 12.56 Mg/m³. As for the density of states at the Fermi level: 4.08 states/eV/cell.

a b c (Å): 3.785 10.090 10.090
angles (deg): 90.00 90.00 90.00
Fractional coordinates of all 20 atoms:
Cd (0.000, 0.671, 0.171)
Cd (0.000, 0.329, 0.829)
Cd (0.000, 0.171, 0.329)
Cd (0.000, 0.829, 0.671)
Ga (0.000, 0.141, 0.641)
Ga (0.000, 0.859, 0.359)
Ga (0.000, 0.641, 0.859)
Ga (0.000, 0.359, 0.141)
Ag (0.000, 0.000, 0.000)
Ag (0.000, 0.500, 0.500)
Au (0.500, 0.209, 0.017)
Au (0.500, 0.791, 0.983)
Au (0.500, 0.017, 0.791)
Au (0.500, 0.709, 0.483)
Au (0.500, 0.983, 0.209)
Au (0.500, 0.291, 0.517)
Au (0.500, 0.517, 0.709)
Au (0.500, 0.483, 0.291)
Au (0.500, 0.500, 0.000)
Au (0.500, 0.000, 0.500)